A plane-wave DFT calculation with PBE was carried out for an optimized crystal structure of K6HAu2.

Results
Crystal system: monoclinic
SG: P2_1/c, No. 14

a = 7.349 Å, b = 8.960 Å, c = 12.773 Å
α = 90.00°, β = 123.61°, γ = 90.00°
Positions (direct):
1 K 0.126 0.157 0.446
2 K 0.126 0.343 0.946
3 K 0.298 0.694 0.444
4 K 0.298 0.806 0.944
5 K 0.356 0.027 0.249
6 K 0.356 0.473 0.749
7 K 0.644 0.527 0.251
8 K 0.644 0.973 0.751
9 K 0.702 0.194 0.056
10 K 0.702 0.306 0.556
11 K 0.874 0.657 0.054
12 K 0.874 0.843 0.554
13 H 0.500 0.000 0.500
14 H 0.500 0.500 0.000
15 Au 0.199 0.117 0.750
16 Au 0.199 0.383 0.250
17 Au 0.801 0.617 0.750
18 Au 0.801 0.883 0.250

=====

A plane-wave DFT calculation with PBE was carried out for an optimized crystal structure of Ca3Si2Au3.

Results
Crystal system: orthorhombic
SG: Pnma, No. 62

a = 8.262 Å, b = 14.920 Å, c = 5.810 Å
α = 90.00°, β = 90.00°, γ = 90.00°
Positions (direct):
1 Ca 0.046 0.106 0.127
2 Ca 0.046 0.394 0.127
3 Ca 0.189 0.250 0.610
4 Ca 0.311 0.750 0.110
5 Ca 0.454 0.606 0.627
6 Ca 0.454 0.894 0.627
7 Ca 0.546 0.106 0.373
8 Ca 0.546 0.394 0.373
9 Ca 0.689 0.250 0.890
10 Ca 0.811 0.750 0.390
11 Ca 0.954 0.606 0.873
12 Ca 0.954 0.894 0.873
13 Si 0.103 0.600 0.388
14 Si 0.103 0.900 0.388
15 Si 0.397 0.100 0.888
16 Si 0.397 0.400 0.888
17 Si 0.603 0.600 0.112
18 Si 0.603 0.900 0.112
19 Si 0.897 0.100 0.612
20 Si 0.897 0.400 0.612
21 Au 0.158 0.750 0.592
22 Au 0.189 0.041 0.626
23 Au 0.189 0.459 0.626
24 Au 0.311 0.541 0.126
25 Au 0.311 0.959 0.126
26 Au 0.342 0.250 0.092
27 Au 0.658 0.750 0.908
28 Au 0.689 0.041 0.874
29 Au 0.689 0.459 0.874
30 Au 0.811 0.541 0.374
31 Au 0.811 0.959 0.374
32 Au 0.842 0.250 0.408

=====

Number 1: DFT total energy -1.998 eV/atom, D(E_F) 0.49 states/eV/atom. Number 2: DFT total energy -3.996 eV/atom, D(E_F) 0.51 states/eV/atom.